# 1
Density functional theory data (PBE) for an optimized crystal structure of MnCuGeOs. Values from VASP.

```
&SYSTEM
  ibrav = 0, nat = 16, ntyp = 4
/
ATOMIC_SPECIES
Mn 54.94 Mn.upf
Cu 63.55 Cu.upf
Ge 72.64 Ge.upf
Os 190.23 Os.upf
CELL_PARAMETERS angstrom
5.9794 0.0000 0.0000
0.0000 5.9794 0.0000
0.0000 0.0000 5.9794
ATOMIC_POSITIONS crystal
Mn 0.0000 0.0000 0.0000
Mn 0.0000 0.5000 0.5000
Mn 0.5000 0.0000 0.5000
Mn 0.5000 0.5000 0.0000
Cu 0.2500 0.2500 0.2500
Cu 0.2500 0.7500 0.7500
Cu 0.7500 0.2500 0.7500
Cu 0.7500 0.7500 0.2500
Ge 0.2500 0.2500 0.7500
Ge 0.2500 0.7500 0.2500
Ge 0.7500 0.2500 0.2500
Ge 0.7500 0.7500 0.7500
Os 0.0000 0.0000 0.5000
Os 0.0000 0.5000 0.0000
Os 0.5000 0.0000 0.0000
Os 0.5000 0.5000 0.5000
```

Calculated values
* calculated formation energy: 0.52 eV per formula unit
* total energy: -114.4 eV/cell
* calculated volume: 13.4 A^3/atom
* size of the total moment: 11.9 μB per cell
* DOS at the Fermi energy: 2.515 states/eV/f.u.


# 2
Density functional theory data (PBE) for an optimized crystal structure of PPtO2. Values from VASP.

```
&SYSTEM
  ibrav = 0, nat = 12, ntyp = 3
/
ATOMIC_SPECIES
P 30.97 P.upf
Pt 195.08 Pt.upf
O 16.00 O.upf
CELL_PARAMETERS angstrom
2.7828 0.0000 0.0000
-1.3914 2.4099 0.0000
0.0000 0.0000 21.5105
ATOMIC_POSITIONS crystal
P 0.0000 0.0000 0.0000
P 0.3333 0.6667 0.6667
P 0.6667 0.3333 0.3333
Pt 0.0000 0.0000 0.5000
Pt 0.3333 0.6667 0.1667
Pt 0.6667 0.3333 0.8333
O 0.0000 0.0000 0.0713
O 0.0000 0.0000 0.9287
O 0.3333 0.6667 0.5953
O 0.3333 0.6667 0.7380
O 0.6667 0.3333 0.2620
O 0.6667 0.3333 0.4047
```

Calculated values
* total energy: -64.7 eV/cell
* calculated volume: 12.0 A^3/atom
* size of the total moment: 0.0 μB per cell
* DOS at the Fermi energy: 2.378 states/eV/f.u.
* formation energy from raw total energies: -20 kJ/mol of formula units


# 3
Density functional theory data (PBE) for an optimized crystal structure of NiAsP2. Values from VASP.

```
&SYSTEM
  ibrav = 0, nat = 12, ntyp = 3
/
ATOMIC_SPECIES
Ni 58.69 Ni.upf
As 74.92 As.upf
P 30.97 P.upf
CELL_PARAMETERS angstrom
3.3853 0.0000 0.0000
-1.6926 2.9317 0.0000
0.0000 0.0000 17.7240
ATOMIC_POSITIONS crystal
Ni 0.0000 0.0000 0.0000
Ni 0.3333 0.6667 0.6667
Ni 0.6667 0.3333 0.3333
As 0.0000 0.0000 0.2491
As 0.3333 0.6667 0.9157
As 0.6667 0.3333 0.5824
P 0.0000 0.0000 0.4879
P 0.0000 0.0000 0.7440
P 0.3333 0.6667 0.1545
P 0.3333 0.6667 0.4107
P 0.6667 0.3333 0.0774
P 0.6667 0.3333 0.8212
```

Calculated values
* calculated formation energy: 0.01 eV per formula unit
* total energy: -63.7 eV/cell
* calculated volume: 14.7 A^3/atom
* size of the total moment: 0.0 μB per cell
* DOS at the Fermi energy: 1.679 states/eV/f.u.


# 4
Density functional theory data (PBE) for an optimized crystal structure of LaFeAs2. Values from VASP.

```
&SYSTEM
  ibrav = 0, nat = 4, ntyp = 3
/
ATOMIC_SPECIES
La 138.91 La.upf
Fe 55.84 Fe.upf
As 74.92 As.upf
CELL_PARAMETERS angstrom
4.2313 0.0000 0.0000
0.0000 4.6843 0.0000
0.0000 0.0000 4.6664
ATOMIC_POSITIONS crystal
La 0.0000 0.0000 0.0000
Fe 0.5000 0.5000 0.3698
As 0.5000 0.0000 0.5116
As 0.5000 0.5000 0.8831
```

Calculated values
* calculated formation energy: -2.21 eV per formula unit
* total energy: -24.9 eV/cell
* offset from the most stable computed form: 48 kJ/mol of formula units
* calculated volume: 23.1 A^3/atom
* size of the total moment: 2.5 μB per cell
* DOS at the Fermi energy: 2.420 states/eV/f.u.


# 5
Density functional theory data (PBE) for an optimized crystal structure of Li2Sm2Pt15. Values from VASP.

```
&SYSTEM
  ibrav = 0, nat = 19, ntyp = 3
/
ATOMIC_SPECIES
Li 6.94 Li.upf
Sm 150.36 Sm.upf
Pt 195.08 Pt.upf
CELL_PARAMETERS angstrom
4.6274 2.6716 4.4957
-4.6274 2.6716 4.4957
0.0000 -5.3433 4.4957
ATOMIC_POSITIONS crystal
Li 0.0956 0.0956 0.0956
Li 0.9044 0.9044 0.9044
Sm 0.3455 0.3455 0.3455
Sm 0.6545 0.6545 0.6545
Pt 0.0000 0.0000 0.5000
Pt 0.0000 0.3189 0.6811
Pt 0.0000 0.5000 0.0000
Pt 0.0000 0.6811 0.3189
Pt 0.1621 0.6602 0.6602
Pt 0.3189 0.0000 0.6811
Pt 0.3189 0.6811 0.0000
Pt 0.3398 0.3398 0.8379
Pt 0.3398 0.8379 0.3398
Pt 0.5000 0.0000 0.0000
Pt 0.6602 0.1621 0.6602
Pt 0.6602 0.6602 0.1621
Pt 0.6811 0.0000 0.3189
Pt 0.6811 0.3189 0.0000
Pt 0.8379 0.3398 0.3398
```

Calculated values
* calculated formation energy: -11.04 eV per formula unit
* total energy: -114.9 eV/cell
* calculated volume: 17.6 A^3/atom
* size of the total moment: 0.0 μB per cell
* DOS at the Fermi energy: 14.422 states/eV/f.u.


# 6
Density functional theory data (PBE) for an optimized crystal structure of Ho12Cu6Sb. Values from VASP.

```
&SYSTEM
  ibrav = 0, nat = 19, ntyp = 3
/
ATOMIC_SPECIES
Ho 164.93 Ho.upf
Cu 63.55 Cu.upf
Sb 121.76 Sb.upf
CELL_PARAMETERS angstrom
-4.9087 4.9087 4.9087
4.9087 -4.9087 4.9087
4.9087 4.9087 -4.9087
ATOMIC_POSITIONS crystal
Ho 0.1121 0.3008 0.8113
Ho 0.1887 0.4895 0.3008
Ho 0.1887 0.8879 0.6992
Ho 0.3008 0.1887 0.4895
Ho 0.3008 0.8113 0.1121
Ho 0.4895 0.3008 0.1887
Ho 0.5105 0.6992 0.8113
Ho 0.6992 0.1887 0.8879
Ho 0.6992 0.8113 0.5105
Ho 0.8113 0.1121 0.3008
Ho 0.8113 0.5105 0.6992
Ho 0.8879 0.6992 0.1887
Cu 0.1240 0.5000 0.6240
Cu 0.3760 0.8760 0.5000
Cu 0.5000 0.3760 0.8760
Cu 0.5000 0.6240 0.1240
Cu 0.6240 0.1240 0.5000
Cu 0.8760 0.5000 0.3760
Sb 0.0000 0.0000 0.0000
```

Calculated values
* total energy: -88.4 eV/cell
* calculated volume: 24.9 A^3/atom
* size of the total moment: 0.0 μB per cell
* DOS at the Fermi energy: 17.428 states/eV/f.u.
* formation energy from raw total energies: -459 kJ/mol of formula units


# 7
Density functional theory data (PBE) for an optimized crystal structure of MnCd2Rh2. Values from VASP.

```
&SYSTEM
  ibrav = 0, nat = 10, ntyp = 3
/
ATOMIC_SPECIES
Mn 54.94 Mn.upf
Cd 112.41 Cd.upf
Rh 102.91 Rh.upf
CELL_PARAMETERS angstrom
6.5042 0.0000 0.0000
0.0000 6.5042 0.0000
0.0000 0.0000 4.2093
ATOMIC_POSITIONS crystal
Mn 0.0000 0.0000 0.0000
Mn 0.5000 0.5000 0.0000
Cd 0.1673 0.3327 0.5000
Cd 0.3327 0.8327 0.5000
Cd 0.6673 0.1673 0.5000
Cd 0.8327 0.6673 0.5000
Rh 0.1380 0.6380 0.0000
Rh 0.3620 0.1380 0.0000
Rh 0.6380 0.8620 0.0000
Rh 0.8620 0.3620 0.0000
```

Calculated values
* calculated formation energy: -0.04 eV per formula unit
* total energy: -51.5 eV/cell
* calculated volume: 17.8 A^3/atom
* size of the total moment: 8.0 μB per cell
* DOS at the Fermi energy: 2.423 states/eV/f.u.


# 8
Density functional theory data (PBE) for an optimized crystal structure of HfAlGa2. Values from VASP.

```
&SYSTEM
  ibrav = 0, nat = 16, ntyp = 3
/
ATOMIC_SPECIES
Hf 178.49 Hf.upf
Al 26.98 Al.upf
Ga 69.72 Ga.upf
CELL_PARAMETERS angstrom
7.3076 0.0000 0.0000
0.0000 7.3076 0.0000
0.0000 0.0000 5.6342
ATOMIC_POSITIONS crystal
Hf 0.0000 0.0000 0.0000
Hf 0.0000 0.5000 0.2500
Hf 0.5000 0.0000 0.7500
Hf 0.5000 0.5000 0.5000
Al 0.0000 0.0000 0.5000
Al 0.0000 0.5000 0.7500
Al 0.5000 0.0000 0.2500
Al 0.5000 0.5000 0.0000
Ga 0.2244 0.2500 0.6250
Ga 0.2500 0.7244 0.8750
Ga 0.2500 0.7756 0.3750
Ga 0.2756 0.2500 0.1250
Ga 0.7244 0.7500 0.1250
Ga 0.7500 0.2244 0.3750
Ga 0.7500 0.2756 0.8750
Ga 0.7756 0.7500 0.6250
```

Calculated values
* calculated formation energy: -0.13 eV per formula unit
* total energy: -79.5 eV/cell
* calculated volume: 18.8 A^3/atom
* size of the total moment: 0.0 μB per cell
* DOS at the Fermi energy: 2.161 states/eV/f.u.